Material: Sm2Ga3Cu4Si
Method: DFT, GGA-PBE
State: optimized geometry

Structure (CIF):
```
data_Sm2Ga3Cu4Si
_chemical_formula_sum 'Sm2 Ga3 Cu4 Si1'
_symmetry_space_group_name_H-M 'P 1'
_symmetry_Int_Tables_number 1
_cell_length_a 4.1821
_cell_length_b 4.1821
_cell_length_c 9.9455
_cell_angle_alpha 90.00
_cell_angle_beta 90.00
_cell_angle_gamma 90.00
loop_
_symmetry_equiv_pos_as_xyz
'x,y,z'
loop_
_atom_site_label
_atom_site_type_symbol
_atom_site_fract_x
_atom_site_fract_y
_atom_site_fract_z
_atom_site_occupancy
Sm1 Sm 0.5000 0.0000 0.2518 1
Sm2 Sm 0.0000 0.5000 0.7482 1
Ga1 Ga 0.0000 0.0000 0.5000 1
Ga2 Ga 0.5000 0.0000 0.8690 1
Ga3 Ga 0.0000 0.5000 0.1310 1
Cu1 Cu 0.5000 0.5000 0.0000 1
Cu2 Cu 0.0000 0.0000 0.0000 1
Cu3 Cu 0.5000 0.0000 0.6252 1
Cu4 Cu 0.0000 0.5000 0.3748 1
Si1 Si 0.5000 0.5000 0.5000 1
```

Summary:
As for the magnetic moment: 0.00 μB/atom. The symmetry is P-4m2. The total energy is -44.79 eV/cell.